DFT (SCAN) results for a crystal of Cr2NiS4 relaxed with PBEsol.

Properties
- total energy (eV per atom) = -13.670
- DOS at the Fermi energy (states/eV per atom) = 0.54
- crystal system = monoclinic
- total magnetization (μB per formula unit) = 0.00
- formation energy without anion corrections (eV per atom) = -0.61
- density (Mg/m³) = 5.15

Unit cell a=6.174 b=6.174 c=5.603 alpha=113.56 beta=113.56 gamma=28.82
Element x y z (fractional)
Cr1 0.240 0.240 0.184
Cr2 0.760 0.760 0.816
Ni1 0.500 0.500 0.500
S1 0.142 0.142 0.481
S2 0.394 0.394 0.059
S3 0.606 0.606 0.941
S4 0.858 0.858 0.519